(1)
6
Lattice="3.184 0.000 0.000 -1.591 5.100 0.000 -0.014 -2.029 6.071" Properties=species:S:1:pos:R:3 comment="ScMo4W (PBE-GGA, optimized geometry)" n_ef_per_ev_fu=3.63 formation_energy_ev_per_atom=-0.001 e_above_lowest_polymorph_mev_per_atom=0 volume_a3_per_cell=98.6 dft_energy_ry_per_atom=-0.7670 pbc="T T T"
Sc 0.000 0.000 0.000
Mo -0.010 2.005 3.989
Mo -0.001 2.995 1.031
Mo 1.580 0.076 5.040
Mo 1.590 1.066 2.082
W -0.007 -1.015 3.035

(2)
4
Lattice="3.183 0.000 0.000 0.000 4.504 0.000 0.000 0.000 4.663" Properties=species:S:1:pos:R:3 comment="ScMo2W (PBE-GGA, optimized geometry)" n_ef_per_ev_fu=4.79 formation_energy_ev_per_atom=0.207 e_above_lowest_polymorph_mev_per_atom=141 volume_a3_per_cell=66.9 dft_energy_ry_per_atom=-0.7372 pbc="T T T"
Sc 0.000 0.000 0.000
Mo 0.000 2.252 2.331
Mo 1.592 2.252 0.000
W 1.592 0.000 2.331

(3)
4
Lattice="2.702 0.000 0.000 0.000 4.737 0.000 0.000 0.000 5.334" Properties=species:S:1:pos:R:3 comment="ScMo2W (PBE-GGA, optimized geometry)" n_ef_per_ev_fu=3.33 formation_energy_ev_per_atom=0.299 e_above_lowest_polymorph_mev_per_atom=233 volume_a3_per_cell=68.3 dft_energy_ry_per_atom=-0.7304 pbc="T T T"
Sc 0.000 0.000 0.000
Mo 0.000 0.000 2.656
Mo 1.351 2.369 4.034
W 1.351 2.369 1.354

(4)
4
Lattice="3.173 0.000 0.000 0.000 3.173 0.000 0.000 0.000 6.829" Properties=species:S:1:pos:R:3 comment="ScMo2W (PBE-GGA, optimized geometry)" n_ef_per_ev_fu=4.05 formation_energy_ev_per_atom=0.131 e_above_lowest_polymorph_mev_per_atom=65 volume_a3_per_cell=68.7 dft_energy_ry_per_atom=-0.7427 pbc="T T T"
Sc 0.000 0.000 0.000
Mo 0.000 0.000 3.421
Mo 1.586 1.586 4.939
W 1.586 1.586 1.895

(5)
10
Lattice="3.183 0.000 0.000 0.000 3.183 0.000 0.000 0.000 16.193" Properties=species:S:1:pos:R:3 comment="ScMo5W4 (PBE-GGA, optimized geometry)" n_ef_per_ev_fu=5.91 formation_energy_ev_per_atom=0.007 volume_a3_per_cell=164.0 dft_energy_ry_per_atom=-0.8249 pbc="T T T"
Sc 0.000 0.000 0.000
Mo 1.591 1.591 1.832
Mo 1.591 1.591 4.947
Mo 1.591 1.591 8.096
Mo 1.591 1.591 11.246
Mo 1.591 1.591 14.361
W 0.000 0.000 3.307
W 0.000 0.000 6.502
W 0.000 0.000 9.690
W 0.000 0.000 12.886

(6)
5
Lattice="4.543 0.000 0.000 0.000 4.543 0.000 0.000 0.000 4.543" Properties=species:S:1:pos:R:3 comment="ScMoW3 (PBE-GGA, optimized geometry)" n_ef_per_ev_fu=6.41 formation_energy_ev_per_atom=2.487 e_above_lowest_polymorph_mev_per_atom=826 volume_a3_per_cell=93.8 dft_energy_ry_per_atom=-0.6407 pbc="T T T"
Sc 0.000 0.000 0.000
Mo 2.272 2.272 2.272
W 0.000 0.000 2.272
W 0.000 2.272 0.000
W 2.272 0.000 0.000

(7)
5
Lattice="-2.117 2.117 5.478 2.117 -2.117 5.478 2.117 2.117 -5.478" Properties=species:S:1:pos:R:3 comment="ScMo2W2 (PBE-GGA, optimized geometry)" n_ef_per_ev_fu=8.11 formation_energy_ev_per_atom=0.524 e_above_lowest_polymorph_mev_per_atom=136 volume_a3_per_cell=98.2 dft_energy_ry_per_atom=-0.7538 pbc="T T T"
Sc 0.000 0.000 0.000
Mo 0.000 0.000 4.197
Mo 0.000 0.000 6.759
W 2.117 0.000 2.739
W 0.000 2.117 2.739

(8)
4
Lattice="1.623 -2.282 0.000 1.623 2.282 0.000 0.000 0.000 9.184" Properties=species:S:1:pos:R:3 comment="ScMo2W (PBE-GGA, optimized geometry)" n_ef_per_ev_fu=3.34 formation_energy_ev_per_atom=0.101 e_above_lowest_polymorph_mev_per_atom=35 volume_a3_per_cell=68.0 dft_energy_ry_per_atom=-0.7449 pbc="T T T"
Sc 0.000 0.000 0.000
Mo 1.623 0.000 2.418
Mo 1.623 0.000 6.765
W 0.000 0.000 4.592

(9)
6
Lattice="0.000 3.724 3.724 3.724 0.000 3.724 3.724 3.724 0.000" Properties=species:S:1:pos:R:3 comment="ScMo4W (PBE-GGA, optimized geometry)" n_ef_per_ev_fu=3.46 formation_energy_ev_per_atom=0.112 e_above_lowest_polymorph_mev_per_atom=113 volume_a3_per_cell=103.3 dft_energy_ry_per_atom=-0.7587 pbc="T T T"
Sc 0.000 0.000 0.000
Mo 2.795 2.795 2.795
Mo 4.653 4.653 2.795
Mo 4.653 2.795 4.653
Mo 2.795 4.653 4.653
W 5.586 5.586 5.586

(10)
3
Lattice="4.594 0.000 0.000 -2.297 3.978 0.000 0.000 0.000 2.837" Properties=species:S:1:pos:R:3 comment="ScMoW (PBE-GGA, optimized geometry)" n_ef_per_ev_fu=2.39 formation_energy_ev_per_atom=0.094 e_above_lowest_polymorph_mev_per_atom=85 volume_a3_per_cell=51.8 dft_energy_ry_per_atom=-0.7309 pbc="T T T"
Sc 0.000 0.000 0.000
Mo 0.000 2.652 1.839
W 2.297 1.326 1.102

(11)
3
Lattice="-1.618 1.618 5.102 1.618 -1.618 5.102 1.618 1.618 -5.102" Properties=species:S:1:pos:R:3 comment="ScMoW (PBE-GGA, optimized geometry)" n_ef_per_ev_fu=4.11 formation_energy_ev_per_atom=0.086 e_above_lowest_polymorph_mev_per_atom=77 volume_a3_per_cell=53.4 dft_energy_ry_per_atom=-0.7315 pbc="T T T"
Sc 0.000 0.000 0.000
Mo 0.000 0.000 3.233
W 0.000 0.000 7.005

(12)
10
Lattice="6.492 0.000 0.000 0.000 6.492 0.000 0.000 0.000 4.712" Properties=species:S:1:pos:R:3 comment="Sc2MoW2 (PBE-GGA, optimized geometry)" n_ef_per_ev_fu=4.06 formation_energy_ev_per_atom=0.335 volume_a3_per_cell=198.6 dft_energy_ry_per_atom=-0.7016 pbc="T T T"
Sc 1.105 2.142 0.000
Sc 2.142 5.388 0.000
Sc 4.351 1.105 0.000
Sc 5.388 4.351 0.000
Mo 0.000 0.000 2.356
Mo 3.246 3.246 2.356
W 0.891 4.138 2.356
W 2.355 0.891 2.356
W 4.138 5.601 2.356
W 5.601 2.355 2.356